Re2NiPb | PBEsol | optimized geometry

Lattice parameters (Å, degrees): 3.1172 4.2975 4.6585 90.00 90.00 90.00
Fractional positions:
Re 0.5000 0.5000 0.0000
Ni 0.5000 0.0000 0.5000
Pb 0.0000 0.5000 0.5000
Re 0.0000 0.0000 0.0000

Calculated values
Its formation energy from the elements is 784 meV per atom. Its calculated total energy is -8.421 eV per atom. The calculated density is 17.0 g cm⁻³. As for the crystal system: orthorhombic.

TlAs4Os | PBEsol | optimized geometry

Lattice parameters (Å, degrees): 5.4560 5.4560 5.4560 60.00 60.00 60.00
Site moments in Bohr magnetons follow the coordinates.
Fractional positions:
As 0.3739 0.3739 0.3739  0.00
As 0.3739 0.3739 0.8784  0.00
Tl 0.0000 0.0000 0.0000  0.00
As 0.3739 0.8784 0.3739  0.00
As 0.8784 0.3739 0.3739  0.00
Os 0.7500 0.7500 0.7500  0.26

Calculated values
Its formation energy from the elements is 993 meV per atom. Its calculated total energy is -4.886 eV per atom. The calculated density is 10.0 g cm⁻³. As for the crystal system: cubic.

GaSb2Au2 | PBEsol | optimized geometry

Lattice parameters (Å, degrees): 4.9257 4.9257 6.1586 113.57 113.57 90.00
Fractional positions:
Sb 0.2500 0.7500 0.5000
Sb 0.7500 0.2500 0.5000
Au 0.3680 0.3680 0.7360
Au 0.6320 0.6320 0.2640
Ga 0.0000 0.0000 0.0000

Calculated values
Its calculated total energy is -3.892 eV per atom. The calculated density is 9.5 g cm⁻³. The uncorrected formation energy is 0.168 eV/atom. As for the crystal system: tetragonal.

LaIn2As | PBEsol | optimized geometry

Lattice parameters (Å, degrees): 4.0009 4.5473 6.1867 111.41 90.00 90.00
Fractional positions:
In 0.0000 0.8376 0.0526
In 0.5000 0.3975 0.1729
As 0.5000 0.6397 0.6515
La 0.0000 0.1252 0.6230

Calculated values
Its formation energy from the elements is -607 meV per atom. Its calculated total energy is -4.711 eV per atom. The calculated density is 7.0 g cm⁻³. As for the crystal system: monoclinic.

Si2IrAu | PBEsol | optimized geometry

Lattice parameters (Å, degrees): 5.5486 5.5486 6.5052 115.24 115.24 90.00
Fractional positions:
Si 0.6250 0.6031 0.7500
Ir 0.5000 0.5000 0.0000
Si 0.1250 0.1469 0.7500
Si 0.8531 0.3750 0.2500
Ir 0.7500 0.2500 0.5000
Au 0.0000 0.0000 0.0000
Si 0.3969 0.8750 0.2500
Au 0.2500 0.7500 0.5000

Calculated values
Its calculated total energy is -6.283 eV per atom. The calculated density is 9.3 g cm⁻³. The uncorrected formation energy is 0.028 eV/atom. The calculation puts the energy above the most stable polymorph in this dataset at 0.280 eV/atom. As for the crystal system: tetragonal.

ZnCuW | PBEsol | optimized geometry

Lattice parameters (Å, degrees): 4.1132 4.1132 4.1132 60.00 60.00 60.00
Fractional positions:
W 0.2500 0.2500 0.2500
Cu 0.5000 0.5000 0.5000
Zn 0.0000 0.0000 0.0000

Calculated values
Its formation energy from the elements is 1222 meV per atom. Its calculated total energy is -5.353 eV per atom. The calculated density is 10.6 g cm⁻³. The calculation puts the energy above the most stable polymorph in this dataset at 0.142 eV/atom. As for the crystal system: cubic.

Fe2NiRh | PBEsol | optimized geometry

Lattice parameters (Å, degrees): 3.6115 3.6115 4.3910 114.28 114.28 90.00
Site moments in Bohr magnetons follow the coordinates.
Fractional positions:
Fe 0.2500 0.7500 0.5000  2.53
Ni 0.5000 0.5000 0.0000  0.55
Rh 0.0000 0.0000 0.0000  0.39
Fe 0.7500 0.2500 0.5000  2.53

Calculated values
Its formation energy from the elements is 10 meV per atom. Its calculated total energy is -8.046 eV per atom. The calculated density is 9.7 g cm⁻³. As for the crystal system: tetragonal.

Zr2Tl | PBEsol | optimized geometry

Lattice parameters (Å, degrees): 4.2775 4.2775 14.5657 98.44 98.44 90.00
Fractional positions:
Tl 0.9205 0.9205 0.8410
Tl 0.1705 0.6705 0.3410
Tl 0.3295 0.8295 0.6590
Zr 0.6640 0.1640 0.3280
Tl 0.0795 0.0795 0.1590
Zr 0.2532 0.2532 0.5063
Zr 0.5860 0.5860 0.1720
Zr 0.4140 0.4140 0.8280
Zr 0.9968 0.4968 0.9937
Zr 0.5032 0.0032 0.0063
Zr 0.7468 0.7468 0.4937
Zr 0.8360 0.3360 0.6720

Calculated values
Its formation energy from the elements is -140 meV per atom. Its calculated total energy is -7.076 eV per atom. The calculated density is 9.9 g cm⁻³. As for the crystal system: tetragonal.

For the records above, the corresponding DOS(E_F) values read 3.82; 6.31; 2.60; 1.69; 3.62; 2.92; 6.31; 15.77 states/eV/cell.